# Sr2PuAl3Au12

A relaxed Sr2PuAl3Au12 crystal (PBE-GGA, the Alexandria database).

Summary:
Formation enthalpy at 0 K ... -0.26 eV/atom
Crystal system ... trigonal
Density ... 11.26 g/cm3
Spin magnetization ... 5.44 μB per formula unit

```
data_Sr2PuAl3Au12
_space_group_name_H-M_alt 'R -3 m'
_space_group_IT_number 166
_space_group_name_Hall '-R 3 2"'
_cell_length_a 7.0467
_cell_length_b 7.0467
_cell_length_c 29.4692
_cell_angle_alpha 90.00
_cell_angle_beta 90.00
_cell_angle_gamma 120.00
loop_
_atom_site_label
_atom_site_fract_x
_atom_site_fract_y
_atom_site_fract_z
Sr1 0.0000 0.0000 0.1378
Pu1 0.0000 0.0000 0.5000
Al1 0.0000 0.5000 0.0000
Au1 0.0428 0.5214 0.8956
Au2 0.0605 0.5302 0.6253
```


# Rb2CdHgAu

A relaxed Rb2CdHgAu crystal (PBE-GGA, the Alexandria database).

Summary:
Formation enthalpy at 0 K ... -0.01 eV/atom
Crystal system ... tetragonal
Density ... 4.60 g/cm3
Spin magnetization ... 0.16 μB per formula unit

```
data_Rb2CdHgAu
_space_group_name_H-M_alt 'P 4/m m m'
_space_group_IT_number 123
_space_group_name_Hall '-P 4 2'
_cell_length_a 6.807
_cell_length_b 6.807
_cell_length_c 5.309
_cell_angle_alpha 90.00
_cell_angle_beta 90.00
_cell_angle_gamma 90.00
loop_
_atom_site_label
_atom_site_fract_x
_atom_site_fract_y
_atom_site_fract_z
Rb1 0.000 0.500 0.000
Cd1 0.000 0.000 0.000
Hg1 0.500 0.500 0.500
Au1 0.000 0.000 0.500
```


# LaScCrBi2

A relaxed LaScCrBi2 crystal (PBE-GGA, the Alexandria database).

Summary:
Formation enthalpy at 0 K ... 0.03 eV/atom
Crystal system ... tetragonal
Density ... 7.87 g/cm3
Spin magnetization ... 1.68 μB per formula unit

```
data_LaScCrBi2
_space_group_name_H-M_alt 'P 4/m m m'
_space_group_IT_number 123
_space_group_name_Hall '-P 4 2'
_cell_length_a 5.447
_cell_length_b 5.447
_cell_length_c 4.648
_cell_angle_alpha 90.00
_cell_angle_beta 90.00
_cell_angle_gamma 90.00
loop_
_atom_site_label
_atom_site_fract_x
_atom_site_fract_y
_atom_site_fract_z
La1 0.000 0.000 0.000
Sc1 0.500 0.500 0.000
Cr1 0.500 0.500 0.500
Bi1 0.000 0.500 0.500
```


# RbLi3Zn4Cl12

A relaxed RbLi3Zn4Cl12 crystal (PBE-GGA, the Alexandria database).

Summary:
Crystal system ... trigonal
Density ... 2.45 g/cm3
Final energy ... -0.2252 Ry/atom
Spin magnetization ... 0.00 μB per formula unit

```
data_RbLi3Zn4Cl12
_space_group_name_H-M_alt 'R 3 2'
_space_group_IT_number 155
_space_group_name_Hall 'R 3 2"'
_cell_length_a 13.7871
_cell_length_b 13.7871
_cell_length_c 9.7844
_cell_angle_alpha 90.00
_cell_angle_beta 90.00
_cell_angle_gamma 120.00
loop_
_atom_site_label
_atom_site_fract_x
_atom_site_fract_y
_atom_site_fract_z
Rb1 0.0000 0.0000 0.0000
Li1 0.0000 0.5599 0.0000
Zn1 0.0000 0.0000 0.5000
Zn2 0.0000 0.4364 0.5000
Cl1 0.0000 0.5966 0.5000
Cl2 0.0000 0.8398 0.5000
Cl3 0.0576 0.2309 0.1752
```